No. 1
The following is a PBE calculation of a relaxed SbMo2Cl crystal, from Alexandria.

Output
Total DFT energy (no corrections) = -27.428 eV per cell

a = 10.204 Å, b = 10.204 Å, c = 10.204 Å
α = 17.85°, β = 17.85°, γ = 17.85°
Fractional coordinates of all 4 atoms:
Mo  0.265  0.265  0.265
Mo  0.993  0.993  0.993
Sb  0.521  0.521  0.521
Cl  0.721  0.721  0.721

No. 2
The following is a PBE calculation of a relaxed ScCd2P crystal, from Alexandria.

Output
Total DFT energy (no corrections) = -13.334 eV per cell
Energy of formation from the pure elements = 22.9 kJ/mol of formula units

a = 6.248 Å, b = 6.248 Å, c = 6.248 Å
α = 39.78°, β = 39.78°, γ = 39.78°
Fractional coordinates of all 4 atoms:
P  0.500  0.500  0.500
Cd  0.237  0.237  0.237
Cd  0.763  0.763  0.763
Sc  0.000  0.000  0.000